Computed, not measured: a geometry-optimized Ca2BeH2 structure at the PBEsol level of DFT.

Calculated values
SG = No. 139
Total magnetization = 0.00 μB per atom
Calculated volume = 16.64 A^3/atom
DFT total energy = -15.32 eV/cell

a b c (Å): 3.6769 3.6769 6.6805
angles (deg): 105.97 105.97 90.00
Fractional positions:
Ca: 0.3534 0.3534 0.7068
Ca: 0.6466 0.6466 0.2932
H: 0.7500 0.2500 0.5000
H: 0.2500 0.7500 0.5000
Be: 0.0000 0.0000 0.0000

Computed, not measured: a geometry-optimized LiTePI2 structure at the PBEsol level of DFT.

Calculated values
SG = No. 123
ΔE_f (raw) = 0.46 eV per atom
Total magnetization = 0.59 μB per atom
Calculated volume = 38.54 A^3/atom

a b c (Å): 5.2698 6.0474 6.0474
angles (deg): 90.00 90.00 90.00
Site moments in Bohr magnetons follow the coordinates.
Fractional positions:
Te: 0.0000 0.0000 0.0000  -0.01
P: 0.5000 0.5000 0.5000  1.12
Li: 0.5000 0.0000 0.0000  0.00
I: 0.0000 0.5000 0.0000  0.07
I: 0.0000 0.0000 0.5000  0.07

Computed, not measured: a geometry-optimized ZnMoPb structure at the PBEsol level of DFT.

Calculated values
SG = No. 216
Total magnetization = 0.76 μB per atom
Formation energy = 0.99 eV/atom
Calculated volume = 20.14 A^3/atom

a b c (Å): 4.4046 4.4046 4.4046
angles (deg): 60.00 60.00 60.00
Site moments in Bohr magnetons follow the coordinates.
Fractional positions:
Mo: 0.0000 0.0000 0.0000  2.04
Pb: 0.5000 0.5000 0.5000  -0.01
Zn: 0.2500 0.2500 0.2500  0.04

Computed, not measured: a geometry-optimized LiSi2Pt structure at the PBEsol level of DFT.

Calculated values
SG = No. 119
ΔE_f (raw) = -0.36 eV per atom
Total magnetization = 0.00 μB per atom
Calculated volume = 13.16 A^3/atom

a b c (Å): 3.7499 3.7499 4.5868
angles (deg): 114.13 114.13 90.00
Fractional positions:
Si: 0.5000 0.5000 0.0000
Si: 0.7500 0.2500 0.5000
Li: 0.0000 0.0000 0.0000
Pt: 0.2500 0.7500 0.5000

Computed, not measured: a geometry-optimized CdSiP2 structure at the PBEsol level of DFT.

Calculated values
SG = No. 122
ΔE_f (raw) = -0.19 eV per atom
Total magnetization = 0.00 μB per atom
Calculated volume = 20.90 A^3/atom

a b c (Å): 5.6471 5.6471 6.5901
angles (deg): 115.37 115.37 90.00
Fractional positions:
P: 0.4181 0.8750 0.2500
P: 0.8319 0.3750 0.2500
P: 0.1250 0.1681 0.7500
P: 0.6250 0.5819 0.7500
Si: 0.5000 0.5000 0.0000
Si: 0.7500 0.2500 0.5000
Cd: 0.0000 0.0000 0.0000
Cd: 0.2500 0.7500 0.5000

Computed, not measured: a geometry-optimized Li3Cu4NiO8 structure at the PBEsol level of DFT.

Calculated values
SG = No. 12
ΔE_f (raw) = -1.02 eV per atom
Total magnetization = 0.01 μB per atom
Calculated volume = 9.05 A^3/atom

a b c (Å): 5.4129 5.6061 5.9766
angles (deg): 117.97 112.18 90.00
Fractional positions:
O: 0.2183 0.6907 0.9256
O: 0.7817 0.7651 0.0744
O: 0.7614 0.3017 0.6034
O: 0.7817 0.3093 0.0744
O: 0.7576 0.8042 0.6085
O: 0.2424 0.1958 0.3915
O: 0.2183 0.2349 0.9256
O: 0.2386 0.6983 0.3966
Li: 0.0000 0.5000 0.5000
Li: 0.0000 0.0000 0.5000
Li: 0.5000 0.0000 0.0000
Cu: 0.0000 0.0000 0.0000
Cu: 0.5000 0.0000 0.5000
Cu: 0.5000 0.5000 0.5000
Cu: 0.5000 0.5000 0.0000
Ni: 0.0000 0.5000 0.0000

Computed, not measured: a geometry-optimized K3TlRu structure at the PBEsol level of DFT.

Calculated values
SG = No. 221
Total magnetization = 0.58 μB per atom
Formation energy = 1.39 eV/atom
Calculated volume = 51.64 A^3/atom

a b c (Å): 6.3677 6.3677 6.3677
angles (deg): 90.00 90.00 90.00
Site moments in Bohr magnetons follow the coordinates.
Fractional positions:
K: 0.0000 0.0000 0.5000  0.00
K: 0.0000 0.5000 0.0000  0.00
K: 0.5000 0.0000 0.0000  0.00
Tl: 0.0000 0.0000 0.0000  0.02
Ru: 0.5000 0.5000 0.5000  2.47

Computed, not measured: a geometry-optimized ZrRh2Cl structure at the PBEsol level of DFT.

Calculated values
SG = No. 71
ΔE_f (raw) = -0.37 eV per atom
Total magnetization = 0.00 μB per atom
Calculated volume = 15.08 A^3/atom

a b c (Å): 3.0013 4.4642 5.2435
angles (deg): 115.19 106.63 90.00
Fractional positions:
Rh: 0.7347 0.7347 0.4693
Rh: 0.2653 0.2653 0.5307
Cl: 0.0000 0.5000 0.0000
Zr: 0.5000 0.0000 0.0000

Computed, not measured: a geometry-optimized HgIr2W structure at the PBEsol level of DFT.

Calculated values
SG = No. 25
Total magnetization = 0.00 μB per atom
Formation energy = 0.31 eV/atom
Calculated volume = 15.77 A^3/atom

a b c (Å): 2.8028 4.0503 5.5550
angles (deg): 90.00 90.00 90.00
Fractional positions:
W: 0.0000 0.0000 0.4644
Ir: 0.0000 0.0000 0.0064
Ir: 0.5000 0.5000 0.2692
Hg: 0.5000 0.5000 0.7601

Computed, not measured: a geometry-optimized Ni6RuPt structure at the PBEsol level of DFT.

Calculated values
SG = No. 65
Total magnetization = 0.19 μB per atom
Formation energy = 0.04 eV/atom
Calculated volume = 11.35 A^3/atom

a b c (Å): 6.1794 6.1794 10.0884
angles (deg): 90.00 90.00 109.42
Site moments in Bohr magnetons follow the coordinates.
Fractional positions:
Pt: 0.0000 0.0000 0.7509  0.09
Pt: 0.0000 0.0000 0.2491  0.09
Pt: 0.2489 0.7511 0.5000  0.11
Pt: 0.7511 0.2489 0.5000  0.11
Ni: 0.7472 0.2528 0.2454  0.17
Ni: 0.1293 0.3773 0.3728  0.28
Ni: 0.2528 0.7472 0.2454  0.17
Ni: 0.3773 0.1293 0.6272  0.28
Ni: 0.5000 0.5000 0.5000  0.21
Ni: 0.6207 0.8730 0.1229  0.14
Ni: 0.8707 0.6227 0.6272  0.28
Ni: 0.5000 0.5000 0.0000  0.11
Ni: 0.8730 0.6207 0.8771  0.14
Ni: 0.1293 0.3773 0.6272  0.28
Ni: 0.1270 0.3793 0.8771  0.14
Ni: 0.8707 0.6227 0.3728  0.28
Ni: 0.1270 0.3793 0.1229  0.14
Ni: 0.0000 0.0000 0.0000  0.19
Ni: 0.6207 0.8730 0.8771  0.14
Ni: 0.3773 0.1293 0.3728  0.28
Ni: 0.7472 0.2528 0.7546  0.17
Ni: 0.6227 0.8707 0.6272  0.28
Ni: 0.0000 0.0000 0.5000  0.38
Ni: 0.2528 0.7472 0.7546  0.17
Ni: 0.8730 0.6207 0.1229  0.14
Ni: 0.3793 0.1270 0.1229  0.14
Ni: 0.3793 0.1270 0.8771  0.14
Ni: 0.6227 0.8707 0.3728  0.28
Ru: 0.7495 0.2505 0.0000  0.26
Ru: 0.2505 0.7495 0.0000  0.26
Ru: 0.5000 0.5000 0.2509  0.28
Ru: 0.5000 0.5000 0.7491  0.28

Computed, not measured: a geometry-optimized VCuRh2 structure at the PBEsol level of DFT.

Calculated values
SG = No. 225
Total magnetization = 0.00 μB per atom
Formation energy = -0.27 eV/atom
Calculated volume = 12.77 A^3/atom

a b c (Å): 4.1652 4.1652 4.1652
angles (deg): 60.00 60.00 60.00
Fractional positions:
V: 0.0000 0.0000 0.0000
Rh: 0.7500 0.7500 0.7500
Rh: 0.2500 0.2500 0.2500
Cu: 0.5000 0.5000 0.5000

Computed, not measured: a geometry-optimized RbAgSe2 structure at the PBEsol level of DFT.

Calculated values
SG = No. 166
ΔE_f (raw) = 0.02 eV per atom
Total magnetization = 0.00 μB per atom
Calculated volume = 26.34 A^3/atom

a b c (Å): 3.4807 3.4807 10.2394
angles (deg): 80.21 80.21 60.00
Fractional positions:
Rb: 0.5000 0.5000 0.5000
Se: 0.9199 0.9199 0.2404
Se: 0.0801 0.0801 0.7596
Ag: 0.0000 0.0000 0.0000